First-principles (PBE with a Hubbard U) data for an optimized crystal structure of KFeTeO6, as listed in Alexandria.

Structure (POSCAR):
```
KFeTeO6
1.0
2.5850 -4.4795 0.0000
2.5850 4.4795 0.0000
-0.0107 0.0000 6.0538
K Fe Te O
1 1 1 6
direct
0.0000 0.0000 0.0000
0.3334 0.6666 0.5000
0.6666 0.3334 0.5000
0.0038 0.3882 0.3200
0.0047 0.6160 0.6799
0.3840 0.9953 0.3201
0.3850 0.3892 0.6801
0.6108 0.6150 0.3199
0.6118 0.9962 0.6800
```

Summary:
raw total energy	-5.49	eV per atom
space-group type	C2
ρ	3.773	g cm⁻³